First-principles (PBE) data for a relaxed CaAl2OsO8 crystal, as listed in Alexandria.

Computed properties:
DFT total energy, Ry per atom: -0.5134
Theoretical density, g/cm3: 5.2
Density of states at the Fermi level, states/eV per cell: 7.35

Unit cell a=6.4938 b=6.5433 c=6.2152 alpha=90.00 beta=90.00 gamma=90.00
Closest atoms and distances in Å follow each position.
Space group Cmmm (No. 65)
Unique sites:
Ca 0.0000 0.0000 0.0000  6 O 2.18-2.27
Al 0.0000 0.5000 0.2480  6 O 1.89-2.04
Os 0.0000 0.0000 0.5000  6 O 1.86-1.97
O 0.0000 0.3013 0.5000  1 Os 1.97, 2 Al 2.04
O 0.0000 0.3327 0.0000  2 Al 1.89
O 0.2076 0.0000 0.2930  1 Os 1.86, 1 Al 1.92

---

First-principles (PBE) data for a relaxed Ca2AlP2O9 crystal, as listed in Alexandria.

Computed properties:
DFT total energy, Ry per atom: -0.5258
Theoretical density, g/cm3: 3.1
Density of states at the Fermi level, states/eV per cell: 7.20

Unit cell a=7.8690 b=5.6220 c=8.3742 alpha=90.00 beta=113.82 gamma=90.00
Closest atoms and distances in Å follow each position.
Space group P2_1/m (No. 11)
Unique sites:
Ca 0.1856 0.2500 0.0852  4 O 2.28-2.41
Ca 0.1948 0.7500 0.7468  4 O 2.29-2.52
Al 0.5000 0.0000 0.5000  6 O 1.82-1.97
P 0.0891 0.7500 0.3097  4 O 1.53-1.60
P 0.4819 0.2500 0.8232  4 O 1.52-1.58
O 0.0152 0.7500 0.4525  1 P 1.53
O 0.0219 0.5271 0.1910  1 P 1.55
O 0.3109 0.7500 0.4006  1 P 1.60
O 0.3117 0.7500 0.0531  1 P 1.53
O 0.3544 0.2500 0.9194  1 P 1.52
O 0.3548 0.2500 0.3870  2 Al 1.82
O 0.4346 0.0239 0.7001  1 P 1.58

---

First-principles (PBE) data for a relaxed CaAlPO2 crystal, as listed in Alexandria.

Computed properties:
DFT total energy, Ry per atom: -0.3139
Theoretical density, g/cm3: 2.2
Density of states at the Fermi level, states/eV per cell: 6.68
Offset from the most stable computed form, meV/atom: 1288

Unit cell a=4.1478 b=4.1478 c=5.7014 alpha=90.00 beta=90.00 gamma=90.00
Closest atoms and distances in Å follow each position.
Space group P4/mmm (No. 123)
Unique sites:
Ca 0.0000 0.0000 0.0000  4 O 2.07
Al 0.5000 0.5000 0.5000  4 P 2.93
P 0.0000 0.0000 0.5000  2 Ca 2.85, 4 Al 2.93
O 0.0000 0.5000 0.0000  2 Ca 2.07

---

First-principles (PBE) data for a relaxed CaAlP2O8 crystal, as listed in Alexandria.

Computed properties:
DFT total energy, Ry per atom: -0.5262
Theoretical density, g/cm3: 2.9
Density of states at the Fermi level, states/eV per cell: 6.85

Unit cell a=5.0736 b=5.0736 c=6.5583 alpha=90.00 beta=90.00 gamma=120.00
Closest atoms and distances in Å follow each position.
Space group P-3 (No. 147)
Unique sites:
Ca 0.0000 0.0000 0.0000  6 O 2.57
Al 0.0000 0.0000 0.5000  6 O 1.88
P 0.3333 0.6667 0.7518  4 O 1.54
O 0.1652 0.8315 0.6788  1 P 1.54
O 0.3333 0.6667 0.9866  1 P 1.54

---

First-principles (PBE) data for a relaxed CaAlPO2 crystal, as listed in Alexandria.

Computed properties:
DFT total energy, Ry per atom: -0.4086
Theoretical density, g/cm3: 3.0
Density of states at the Fermi level, states/eV per cell: 3.91
Offset from the most stable computed form, meV/atom: 0

Unit cell a=3.8630 b=3.8630 c=4.8311 alpha=90.00 beta=90.00 gamma=90.00
Closest atoms and distances in Å follow each position.
Space group P4/mmm (No. 123)
Unique sites:
Ca 0.0000 0.0000 0.0000  4 P 2.73
Al 0.5000 0.5000 0.5000  4 O 1.93
P 0.5000 0.5000 0.0000  2 Al 2.42
O 0.0000 0.5000 0.5000  2 Al 1.93

---

First-principles (PBE) data for a relaxed CaPaAlO5 crystal, as listed in Alexandria.

Computed properties:
DFT total energy, Ry per atom: -0.6099
Theoretical density, g/cm3: 5.3
Density of states at the Fermi level, states/eV per cell: 0.00

Unit cell a=6.9601 b=9.3738 c=7.8973 alpha=90.00 beta=112.93 gamma=90.00
Closest atoms and distances in Å follow each position.
Space group C2/c (No. 15)
Unique sites:
Ca 0.0000 0.1570 0.2500  5 O 2.31-2.48
Pa 0.0000 0.5000 0.0000  6 O 2.17-2.20
Al 0.0000 0.1821 0.7500  4 O 1.78-1.79
O 0.0000 0.4030 0.2500  2 Pa 2.17, 1 Ca 2.31
O 0.1206 0.2957 0.6383  1 Al 1.79
O 0.1732 0.0590 0.9092  1 Al 1.78

---

Q: Look up the theoretical density of the sixth one.
A: 5.3 g/cm3

---

Q: theoretical density of number 5 (CaAlPO2)?
A: 3.0 g/cm3